# K2V3CuF12 (GGA+U, relaxed)
data_K2V3CuF12
_space_group_name_H-M_alt 'P 1'
_space_group_IT_number 1
_cell_length_a 7.267
_cell_length_b 7.267
_cell_length_c 7.267
_cell_angle_alpha 62.67
_cell_angle_beta 62.67
_cell_angle_gamma 62.67
loop_
_space_group_symop_operation_xyz
'x,y,z'
loop_
_atom_site_label
_atom_site_fract_x
_atom_site_fract_y
_atom_site_fract_z
_atom_site_occupancy
F1 0.099 0.099 0.633 1
F2 0.901 0.367 0.901 1
F3 0.901 0.901 0.367 1
F4 0.306 0.914 0.306 1
F5 0.914 0.306 0.306 1
F6 0.367 0.901 0.901 1
F7 0.694 0.086 0.694 1
F8 0.099 0.633 0.099 1
F9 0.306 0.306 0.914 1
F10 0.694 0.694 0.086 1
F11 0.633 0.099 0.099 1
F12 0.086 0.694 0.694 1
K1 0.635 0.635 0.635 1
K2 0.365 0.365 0.365 1
V1 0.500 0.000 0.000 1
V2 0.000 0.500 0.000 1
V3 0.000 0.000 0.500 1
Cu1 0.000 0.000 0.000 1
# SG = R-3m (166)
# DFT total energy = -5.497 eV per atom
# DOS at the Fermi energy = 8.8 states/eV per cell